[1]
# HoTcPb PBE relaxed
# E = -5.680 eV/atom
# space group = F-43m (216)
data_HoTcPb
_chemical_formula_sum 'Ho4 Tc4 Pb4'
_space_group_name_H-M_alt 'P 1'
_space_group_IT_number 1
_cell_length_a 6.727
_cell_length_b 6.727
_cell_length_c 6.727
_cell_angle_alpha 90.00
_cell_angle_beta 90.00
_cell_angle_gamma 90.00
loop_
_space_group_symop_operation_xyz
'x,y,z'
loop_
_atom_site_label
_atom_site_type_symbol
_atom_site_fract_x
_atom_site_fract_y
_atom_site_fract_z
_atom_site_occupancy
Ho1 Ho 0.000 0.000 0.000 1
Ho2 Ho 0.000 0.500 0.500 1
Ho3 Ho 0.500 0.000 0.500 1
Ho4 Ho 0.500 0.500 0.000 1
Tc1 Tc 0.000 0.000 0.500 1
Tc2 Tc 0.000 0.500 0.000 1
Tc3 Tc 0.500 0.000 0.000 1
Tc4 Tc 0.500 0.500 0.500 1
Pb1 Pb 0.250 0.250 0.250 1
Pb2 Pb 0.250 0.750 0.750 1
Pb3 Pb 0.750 0.250 0.750 1
Pb4 Pb 0.750 0.750 0.250 1

[2]
# HoTePb PBE relaxed
# E = -4.078 eV/atom
# space group = F-43m (216)
data_HoTePb
_chemical_formula_sum 'Ho4 Te4 Pb4'
_space_group_name_H-M_alt 'P 1'
_space_group_IT_number 1
_cell_length_a 7.335
_cell_length_b 7.335
_cell_length_c 7.335
_cell_angle_alpha 90.00
_cell_angle_beta 90.00
_cell_angle_gamma 90.00
loop_
_space_group_symop_operation_xyz
'x,y,z'
loop_
_atom_site_label
_atom_site_type_symbol
_atom_site_fract_x
_atom_site_fract_y
_atom_site_fract_z
_atom_site_occupancy
Ho1 Ho 0.000 0.000 0.000 1
Ho2 Ho 0.000 0.500 0.500 1
Ho3 Ho 0.500 0.000 0.500 1
Ho4 Ho 0.500 0.500 0.000 1
Te1 Te 0.250 0.250 0.750 1
Te2 Te 0.250 0.750 0.250 1
Te3 Te 0.750 0.250 0.250 1
Te4 Te 0.750 0.750 0.750 1
Pb1 Pb 0.000 0.000 0.500 1
Pb2 Pb 0.000 0.500 0.000 1
Pb3 Pb 0.500 0.000 0.000 1
Pb4 Pb 0.500 0.500 0.500 1